A plane-wave DFT calculation with PBE was carried out for an optimized crystal structure of YTmSb2.

Unit cell a=4.3653 b=4.3653 c=7.5576 alpha=73.21 beta=73.21 gamma=60.00
Fractional positions:
Y (0.5000, 0.5000, 0.5000)
Sb (0.2513, 0.2513, 0.2460)
Sb (0.7487, 0.7487, 0.7540)
Tm (0.0000, 0.0000, 0.0000)

Volume = 117.6 Å³ per cell
Density of states at the Fermi level = 0.68 states/eV per cell
Raw total energy = -5.911 eV per atom